GGA-PBE HoZnBi2, relaxed; electronic total energy = -3.692 eV/atom; offset from the most stable computed form = 0.000 eV per atom; formation energy = -0.29 eV/atom; DOS at the Fermi energy = 2.28 states/eV per cell
1.0
4.936 0.000 0.000
0.000 4.936 0.000
0.000 0.000 4.322
Ho Zn Bi
1 1 2
Direct
0.000 0.000 0.000
0.500 0.500 0.000
0.000 0.500 0.500
0.500 0.000 0.500

GGA-PBE Al2OsW, relaxed; electronic total energy = -8.049 eV/atom; offset from the most stable computed form = 0.131 eV per atom; formation energy = -0.13 eV/atom; DOS at the Fermi energy = 2.23 states/eV per cell
1.0
2.954 0.000 0.000
0.000 2.954 0.000
0.000 0.000 6.690
Al Os W
2 1 1
Direct
0.000 0.000 0.221
0.000 0.000 0.779
0.500 0.500 0.000
0.500 0.500 0.500

GGA-PBE PuGaAgHg, relaxed; electronic total energy = -5.199 eV/atom; formation energy = -0.07 eV/atom; DOS at the Fermi energy = 11.63 states/eV per cell
1.0
0.000 3.517 3.517
3.517 0.000 3.517
3.517 3.517 0.000
Pu Ga Ag Hg
1 1 1 1
Direct
0.000 0.000 0.000
0.750 0.750 0.750
0.250 0.250 0.250
0.500 0.500 0.500

GGA-PBE Ta2Fe, relaxed; electronic total energy = -10.537 eV/atom; formation energy = 0.19 eV/atom; DOS at the Fermi energy = 2.66 states/eV per cell
1.0
3.000 0.000 0.000
-1.500 2.598 0.000
0.000 0.000 6.282
Ta Fe
2 1
Direct
0.333 0.667 0.313
0.667 0.333 0.687
0.000 0.000 0.000

GGA-PBE Pr2PaCd, relaxed; electronic total energy = -4.725 eV/atom; offset from the most stable computed form = 0.263 eV per atom; formation energy = 0.27 eV/atom; DOS at the Fermi energy = 6.39 states/eV per cell
1.0
1.660 0.958 12.211
-1.660 0.958 12.211
0.000 -1.917 12.211
Pr Pa Cd
2 1 1
Direct
0.089 0.089 0.089
0.911 0.911 0.911
0.000 0.000 0.000
0.500 0.500 0.500

GGA-PBE CaZnCr2, relaxed; electronic total energy = -5.383 eV/atom; formation energy = 0.25 eV/atom; DOS at the Fermi energy = 3.14 states/eV per cell
1.0
3.154 0.000 0.000
0.000 3.154 0.000
0.000 0.000 7.195
Ca Zn Cr
1 1 2
Direct
0.000 0.000 0.000
0.500 0.500 0.691
0.000 0.000 0.469
0.500 0.500 0.323